DFT (PBE+U) results for a relaxed Al3Cr3Sb2O16 crystal.

Total DFT energy (no corrections)   -6.8754 eV per atom
Space-group type   Cm (8)
Crystal system   monoclinic

```
24
Lattice="4.996 -2.910 0.000 4.996 2.910 0.000 -0.097 0.000 9.308" Properties=species:S:1:pos:R:3 pbc="T T T"
Al 0.000 0.000 0.000
Al 5.767 1.442 4.649
Al 5.767 -1.442 4.649
Cr 2.440 1.472 9.163
Cr 3.301 0.000 4.434
Cr 2.440 -1.472 9.163
Sb 5.040 0.000 1.973
Sb 8.280 0.000 6.590
O -0.039 0.000 5.546
O 3.984 1.658 8.067
O 1.547 0.000 8.396
O 1.629 0.000 3.737
O 4.176 1.265 3.387
O 5.820 1.484 0.939
O 3.353 0.000 0.918
O 4.836 0.000 5.510
O 7.403 1.451 5.577
O 4.176 -1.265 3.387
O 6.370 0.000 3.479
O 6.768 0.000 8.020
O 3.984 -1.658 8.067
O 8.311 0.000 0.870
O 5.820 -1.484 0.939
O 7.403 -1.451 5.577
```